! Dy2Y2CBr3Cl2 PBE-GGA relaxed; values from VASP
! offset from the most stable computed form: 2 meV per atom
! total moment: 0.111 μB/f.u.
&SYSTEM
  ibrav = 0, nat = 10, ntyp = 5
/
ATOMIC_SPECIES
Br 79.90 Br.upf
C 12.01 C.upf
Cl 35.45 Cl.upf
Dy 162.50 Dy.upf
Y 88.91 Y.upf
CELL_PARAMETERS angstrom
-0.782 8.941 0.615
-2.365 7.778 3.854
7.334 -1.396 3.084
ATOMIC_POSITIONS crystal
Br 0.829 0.829 0.172
Br 0.500 0.500 0.500
Br 0.171 0.171 0.828
C 0.500 0.500 0.000
Cl 0.160 0.160 0.324
Cl 0.840 0.840 0.676
Dy 0.640 0.640 0.076
Dy 0.360 0.360 0.924
Y 0.000 0.000 0.203
Y 0.000 0.000 0.797


! Dy2Y2CBr2Cl3 PBE-GGA relaxed; values from VASP
! offset from the most stable computed form: 6 meV per atom
! total moment: 0.041 μB/f.u.
&SYSTEM
  ibrav = 0, nat = 10, ntyp = 5
/
ATOMIC_SPECIES
Br 79.90 Br.upf
C 12.01 C.upf
Cl 35.45 Cl.upf
Dy 162.50 Dy.upf
Y 88.91 Y.upf
CELL_PARAMETERS angstrom
-5.306 -1.316 6.895
-5.499 -4.611 5.092
7.023 -1.991 2.886
ATOMIC_POSITIONS crystal
Br 0.167 0.167 0.352
Br 0.833 0.833 0.648
C 0.500 0.500 0.000
Cl 0.829 0.829 0.163
Cl 0.500 0.500 0.500
Cl 0.171 0.171 0.837
Dy 0.997 0.997 0.209
Dy 0.003 0.003 0.791
Y 0.643 0.643 0.075
Y 0.357 0.357 0.925


! Dy2Y2CBr2Cl3 PBE-GGA relaxed; values from VASP
! offset from the most stable computed form: 2 meV per atom
! total moment: 0.083 μB/f.u.
&SYSTEM
  ibrav = 0, nat = 10, ntyp = 5
/
ATOMIC_SPECIES
Br 79.90 Br.upf
C 12.01 C.upf
Cl 35.45 Cl.upf
Dy 162.50 Dy.upf
Y 88.91 Y.upf
CELL_PARAMETERS angstrom
8.796 -1.877 0.000
8.796 1.877 0.000
-1.791 0.000 7.615
ATOMIC_POSITIONS crystal
Br 0.829 0.829 0.179
Br 0.171 0.171 0.821
C 0.500 0.500 0.000
Cl 0.160 0.160 0.336
Cl 0.500 0.500 0.500
Cl 0.840 0.840 0.664
Dy 0.640 0.640 0.078
Dy 0.360 0.360 0.922
Y 0.000 0.000 0.210
Y 0.000 0.000 0.790


! Dy2Y2CBr3Cl2 PBE-GGA relaxed; values from VASP
! offset from the most stable computed form: 5 meV per atom
! total moment: 0.090 μB/f.u.
&SYSTEM
  ibrav = 0, nat = 10, ntyp = 5
/
ATOMIC_SPECIES
Br 79.90 Br.upf
C 12.01 C.upf
Cl 35.45 Cl.upf
Dy 162.50 Dy.upf
Y 88.91 Y.upf
CELL_PARAMETERS angstrom
8.597 -1.897 0.000
8.597 1.897 0.000
-1.853 0.000 7.907
ATOMIC_POSITIONS crystal
Br 0.168 0.168 0.342
Br 0.500 0.500 0.500
Br 0.832 0.832 0.658
C 0.500 0.500 0.000
Cl 0.829 0.829 0.152
Cl 0.171 0.171 0.848
Dy 0.643 0.643 0.074
Dy 0.357 0.357 0.926
Y 0.998 0.998 0.201
Y 0.002 0.002 0.799


! Dy2Y2CBr3Cl2 PBE-GGA relaxed; values from VASP
! offset from the most stable computed form: 0 meV per atom
! total moment: 0.208 μB/f.u.
&SYSTEM
  ibrav = 0, nat = 10, ntyp = 5
/
ATOMIC_SPECIES
Br 79.90 Br.upf
C 12.01 C.upf
Cl 35.45 Cl.upf
Dy 162.50 Dy.upf
Y 88.91 Y.upf
CELL_PARAMETERS angstrom
-8.496 -0.015 2.915
-7.731 -3.714 2.667
4.229 0.414 6.852
ATOMIC_POSITIONS crystal
Br 0.829 0.829 0.175
Br 0.500 0.500 0.500
Br 0.171 0.171 0.825
C 0.500 0.500 0.000
Cl 0.159 0.159 0.325
Cl 0.841 0.841 0.675
Dy 0.000 0.000 0.203
Dy 0.000 0.000 0.797
Y 0.640 0.640 0.075
Y 0.360 0.360 0.925


! Dy2Y2CBrCl4 PBE-GGA relaxed; values from VASP
! calculated total energy: -56.9 eV per cell
! total moment: 0.101 μB/f.u.
&SYSTEM
  ibrav = 0, nat = 10, ntyp = 5
/
ATOMIC_SPECIES
Br 79.90 Br.upf
C 12.01 C.upf
Cl 35.45 Cl.upf
Dy 162.50 Dy.upf
Y 88.91 Y.upf
CELL_PARAMETERS angstrom
8.517 -1.882 0.000
8.517 1.882 0.000
-1.960 0.000 7.827
ATOMIC_POSITIONS crystal
Br 0.500 0.500 0.500
C 0.500 0.500 0.000
Cl 0.829 0.829 0.151
Cl 0.165 0.165 0.329
Cl 0.835 0.835 0.671
Cl 0.171 0.171 0.849
Dy 0.645 0.645 0.080
Dy 0.355 0.355 0.920
Y 0.999 0.999 0.202
Y 0.001 0.001 0.798


! Er4CBrCl4 PBE-GGA relaxed; values from VASP
! calculated total energy: -52.8 eV per cell
! total moment: 0.095 μB/f.u.
&SYSTEM
  ibrav = 0, nat = 10, ntyp = 4
/
ATOMIC_SPECIES
Br 79.90 Br.upf
C 12.01 C.upf
Cl 35.45 Cl.upf
Er 167.26 Er.upf
CELL_PARAMETERS angstrom
8.413 -1.856 0.000
8.413 1.856 0.000
-1.869 0.000 7.770
ATOMIC_POSITIONS crystal
Br 0.500 0.500 0.000
C 0.500 0.500 0.500
Cl 0.836 0.836 0.175
Cl 0.171 0.171 0.346
Cl 0.829 0.829 0.654
Cl 0.164 0.164 0.825
Er 0.001 0.001 0.299
Er 0.356 0.356 0.423
Er 0.644 0.644 0.577
Er 0.999 0.999 0.701


! Nd2Er2CBr3Cl2 PBE-GGA relaxed; values from VASP
! calculated total energy: -51.9 eV per cell
! total moment: 0.010 μB/f.u.
&SYSTEM
  ibrav = 0, nat = 10, ntyp = 5
/
ATOMIC_SPECIES
Br 79.90 Br.upf
C 12.01 C.upf
Cl 35.45 Cl.upf
Er 167.26 Er.upf
Nd 144.24 Nd.upf
CELL_PARAMETERS angstrom
-4.071 5.678 -5.492
-4.640 2.276 -7.229
-6.123 -1.807 5.547
ATOMIC_POSITIONS crystal
Br 0.172 0.172 0.321
Br 0.500 0.500 0.500
Br 0.828 0.828 0.679
C 0.500 0.500 0.000
Cl 0.825 0.825 0.134
Cl 0.175 0.175 0.866
Er 0.640 0.640 0.070
Er 0.360 0.360 0.930
Nd 0.997 0.997 0.204
Nd 0.003 0.003 0.796


! Er2Sc2CBr2Cl3 PBE-GGA relaxed; values from VASP
! calculated total energy: -55.7 eV per cell
! total moment: 0.071 μB/f.u.
&SYSTEM
  ibrav = 0, nat = 10, ntyp = 5
/
ATOMIC_SPECIES
Br 79.90 Br.upf
C 12.01 C.upf
Cl 35.45 Cl.upf
Er 167.26 Er.upf
Sc 44.96 Sc.upf
CELL_PARAMETERS angstrom
-4.154 1.609 -7.435
-6.883 0.662 -5.226
0.203 7.045 3.274
ATOMIC_POSITIONS crystal
Br 0.168 0.168 0.330
Br 0.832 0.832 0.670
C 0.500 0.500 0.000
Cl 0.831 0.831 0.147
Cl 0.500 0.500 0.500
Cl 0.169 0.169 0.853
Er 0.998 0.998 0.208
Er 0.002 0.002 0.792
Sc 0.635 0.635 0.066
Sc 0.365 0.365 0.934


! Er2Sc2CBrCl4 PBE-GGA relaxed; values from VASP
! calculated total energy: -56.4 eV per cell
! total moment: 0.006 μB/f.u.
&SYSTEM
  ibrav = 0, nat = 10, ntyp = 5
/
ATOMIC_SPECIES
Br 79.90 Br.upf
C 12.01 C.upf
Cl 35.45 Cl.upf
Er 167.26 Er.upf
Sc 44.96 Sc.upf
CELL_PARAMETERS angstrom
8.251 -1.815 0.000
8.251 1.815 0.000
-1.845 0.000 7.818
ATOMIC_POSITIONS crystal
Br 0.500 0.500 0.500
C 0.500 0.500 0.000
Cl 0.828 0.828 0.138
Cl 0.166 0.166 0.306
Cl 0.834 0.834 0.694
Cl 0.172 0.172 0.862
Er 0.999 0.999 0.201
Er 0.001 0.001 0.799
Sc 0.639 0.639 0.072
Sc 0.361 0.361 0.928


! Y2Er2CBr3Cl2 PBE-GGA relaxed; values from VASP
! calculated total energy: -55.3 eV per cell
! total moment: 0.165 μB/f.u.
&SYSTEM
  ibrav = 0, nat = 10, ntyp = 5
/
ATOMIC_SPECIES
Br 79.90 Br.upf
C 12.01 C.upf
Cl 35.45 Cl.upf
Er 167.26 Er.upf
Y 88.91 Y.upf
CELL_PARAMETERS angstrom
-2.110 3.133 7.890
-4.287 0.074 7.624
6.378 -4.677 1.567
ATOMIC_POSITIONS crystal
Br 0.168 0.168 0.344
Br 0.500 0.500 0.500
Br 0.832 0.832 0.656
C 0.500 0.500 0.000
Cl 0.830 0.830 0.158
Cl 0.170 0.170 0.842
Er 0.998 0.998 0.199
Er 0.002 0.002 0.801
Y 0.644 0.644 0.074
Y 0.356 0.356 0.926


! Gd4C2BrCl PBE-GGA relaxed; values from VASP
! calculated total energy: -48.8 eV per cell
! total moment: 0.003 μB/f.u.
&SYSTEM
  ibrav = 0, nat = 8, ntyp = 4
/
ATOMIC_SPECIES
Br 79.90 Br.upf
C 12.01 C.upf
Cl 35.45 Cl.upf
Gd 157.25 Gd.upf
CELL_PARAMETERS angstrom
3.698 0.000 0.000
-1.849 3.203 0.000
0.000 0.000 14.051
ATOMIC_POSITIONS crystal
Br 0.000 0.000 0.000
C 0.667 0.333 0.256
C 0.667 0.333 0.744
Cl 0.333 0.667 0.500
Gd 0.333 0.667 0.163
Gd 0.000 0.000 0.348
Gd 0.000 0.000 0.652
Gd 0.333 0.667 0.837


! H10PtC11Br2N2Cl2 PBE-GGA relaxed; values from VASP
! calculated total energy: -335.3 eV per cell
! total moment: 0.003 μB/f.u.
&SYSTEM
  ibrav = 0, nat = 56, ntyp = 6
/
ATOMIC_SPECIES
Br 79.90 Br.upf
C 12.01 C.upf
Cl 35.45 Cl.upf
H 1.01 H.upf
N 14.01 N.upf
Pt 195.08 Pt.upf
CELL_PARAMETERS angstrom
-1.145 8.215 0.404
-7.444 -1.817 5.821
8.788 -3.142 4.889
ATOMIC_POSITIONS crystal
Br 0.871 0.395 0.103
Br 0.607 0.338 0.273
Br 0.393 0.662 0.727
Br 0.129 0.605 0.897
C 0.860 0.854 0.039
C 0.827 0.725 0.066
C 0.777 0.971 0.078
C 0.663 0.956 0.143
C 0.634 0.825 0.168
C 0.516 0.797 0.234
C 0.418 0.899 0.280
C 0.387 0.620 0.295
C 0.302 0.859 0.334
C 0.285 0.716 0.340
C 0.078 0.297 0.421
C 0.922 0.703 0.579
C 0.715 0.284 0.660
C 0.698 0.141 0.666
C 0.613 0.380 0.705
C 0.582 0.101 0.720
C 0.484 0.203 0.766
C 0.366 0.175 0.832
C 0.337 0.044 0.857
C 0.223 0.029 0.922
C 0.173 0.275 0.934
C 0.140 0.146 0.961
Cl 0.245 0.262 0.356
Cl 0.025 0.156 0.483
Cl 0.975 0.844 0.517
Cl 0.755 0.738 0.644
H 0.051 0.142 0.014
H 0.888 0.630 0.037
H 0.799 0.075 0.060
H 0.597 0.047 0.174
H 0.433 0.009 0.274
H 0.381 0.508 0.300
H 0.958 0.301 0.331
H 0.225 0.937 0.370
H 0.193 0.678 0.379
H 0.869 0.598 0.484
H 0.131 0.402 0.516
H 0.807 0.322 0.621
H 0.775 0.063 0.630
H 0.042 0.699 0.669
H 0.619 0.492 0.700
H 0.567 0.991 0.726
H 0.403 0.953 0.826
H 0.201 0.925 0.940
H 0.112 0.370 0.963
H 0.949 0.858 0.986
N 0.717 0.710 0.130
N 0.502 0.659 0.244
N 0.498 0.341 0.756
N 0.283 0.290 0.870
Pt 0.664 0.532 0.180
Pt 0.336 0.468 0.820


! Hf2CBrCl PBE-GGA relaxed; values from VASP
! calculated total energy: -39.3 eV per cell
! total moment: 0.003 μB/f.u.
&SYSTEM
  ibrav = 0, nat = 5, ntyp = 4
/
ATOMIC_SPECIES
Br 79.90 Br.upf
C 12.01 C.upf
Cl 35.45 Cl.upf
Hf 178.49 Hf.upf
CELL_PARAMETERS angstrom
3.434 0.000 0.000
-1.717 2.974 0.000
0.000 0.000 9.931
ATOMIC_POSITIONS crystal
Br 0.333 0.667 0.810
C 0.000 0.000 0.496
Cl 0.667 0.333 0.201
Hf 0.333 0.667 0.380
Hf 0.667 0.333 0.613


! Ho4CBr2Cl3 PBE-GGA relaxed; values from VASP
! offset from the most stable computed form: 6 meV per atom
! total moment: 0.023 μB/f.u.
&SYSTEM
  ibrav = 0, nat = 10, ntyp = 4
/
ATOMIC_SPECIES
Br 79.90 Br.upf
C 12.01 C.upf
Cl 35.45 Cl.upf
Ho 164.93 Ho.upf
CELL_PARAMETERS angstrom
-7.549 -4.366 -0.725
-5.649 -6.461 1.708
-1.597 5.128 5.664
ATOMIC_POSITIONS crystal
Br 0.167 0.167 0.350
Br 0.833 0.833 0.650
C 0.500 0.500 0.000
Cl 0.829 0.829 0.163
Cl 0.500 0.500 0.500
Cl 0.171 0.171 0.837
Ho 0.642 0.642 0.073
Ho 0.998 0.998 0.208
Ho 0.002 0.002 0.792
Ho 0.358 0.358 0.927


! Ho4CBrCl4 PBE-GGA relaxed; values from VASP
! calculated total energy: -53.0 eV per cell
! total moment: 0.099 μB/f.u.
&SYSTEM
  ibrav = 0, nat = 10, ntyp = 4
/
ATOMIC_SPECIES
Br 79.90 Br.upf
C 12.01 C.upf
Cl 35.45 Cl.upf
Ho 164.93 Ho.upf
CELL_PARAMETERS angstrom
-0.643 8.520 -1.380
-4.175 7.552 -0.672
1.698 -0.466 7.836
ATOMIC_POSITIONS crystal
Br 0.500 0.500 0.500
C 0.500 0.500 0.000
Cl 0.829 0.829 0.155
Cl 0.164 0.164 0.325
Cl 0.836 0.836 0.675
Cl 0.171 0.171 0.845
Ho 0.644 0.644 0.077
Ho 0.999 0.999 0.201
Ho 0.001 0.001 0.799
Ho 0.356 0.356 0.923


! Ho4CBr2Cl3 PBE-GGA relaxed; values from VASP
! offset from the most stable computed form: 0 meV per atom
! total moment: 0.061 μB/f.u.
&SYSTEM
  ibrav = 0, nat = 10, ntyp = 4
/
ATOMIC_SPECIES
Br 79.90 Br.upf
C 12.01 C.upf
Cl 35.45 Cl.upf
Ho 164.93 Ho.upf
CELL_PARAMETERS angstrom
-3.902 -6.387 4.896
-0.347 -6.635 5.986
-0.900 6.362 4.389
ATOMIC_POSITIONS crystal
Br 0.829 0.829 0.180
Br 0.171 0.171 0.820
C 0.500 0.500 0.000
Cl 0.160 0.160 0.335
Cl 0.500 0.500 0.500
Cl 0.840 0.840 0.665
Ho 0.640 0.640 0.077
Ho 0.000 0.000 0.210
Ho 0.000 0.000 0.790
Ho 0.360 0.360 0.923


! Ho4CI2Br2Cl PBE-GGA relaxed; values from VASP
! offset from the most stable computed form: 0 meV per atom
! total moment: 0.004 μB/f.u.
&SYSTEM
  ibrav = 0, nat = 10, ntyp = 5
/
ATOMIC_SPECIES
Br 79.90 Br.upf
C 12.01 C.upf
Cl 35.45 Cl.upf
Ho 164.93 Ho.upf
I 126.90 I.upf
CELL_PARAMETERS angstrom
-5.478 0.062 -7.710
-2.907 -2.608 -8.614
-3.859 -5.268 4.586
ATOMIC_POSITIONS crystal
Br 0.155 0.155 0.337
Br 0.845 0.845 0.663
C 0.500 0.500 0.000
Cl 0.500 0.500 0.500
Ho 0.631 0.631 0.068
Ho 0.998 0.998 0.205
Ho 0.002 0.002 0.795
Ho 0.369 0.369 0.932
I 0.829 0.829 0.195
I 0.171 0.171 0.805


! Ho4CI2Br2Cl PBE-GGA relaxed; values from VASP
! offset from the most stable computed form: 13 meV per atom
! total moment: 0.004 μB/f.u.
&SYSTEM
  ibrav = 0, nat = 10, ntyp = 5
/
ATOMIC_SPECIES
Br 79.90 Br.upf
C 12.01 C.upf
Cl 35.45 Cl.upf
Ho 164.93 Ho.upf
I 126.90 I.upf
CELL_PARAMETERS angstrom
-5.717 1.312 7.431
-8.235 0.860 4.592
1.092 -7.915 0.292
ATOMIC_POSITIONS crystal
Br 0.836 0.836 0.176
Br 0.164 0.164 0.824
C 0.500 0.500 0.000
Cl 0.500 0.500 0.500
Ho 0.630 0.630 0.063
Ho 0.998 0.998 0.204
Ho 0.002 0.002 0.796
Ho 0.370 0.370 0.937
I 0.164 0.164 0.357
I 0.836 0.836 0.643


! Nd2Ho2CI2Br2Cl PBE-GGA relaxed; values from VASP
! offset from the most stable computed form: 20 meV per atom
! total moment: 0.027 μB/f.u.
&SYSTEM
  ibrav = 0, nat = 10, ntyp = 6
/
ATOMIC_SPECIES
Br 79.90 Br.upf
C 12.01 C.upf
Cl 35.45 Cl.upf
Ho 164.93 Ho.upf
I 126.90 I.upf
Nd 144.24 Nd.upf
CELL_PARAMETERS angstrom
-6.630 2.275 -6.462
-4.123 0.240 -8.593
-3.016 -6.945 3.084
ATOMIC_POSITIONS crystal
Br 0.152 0.152 0.350
Br 0.848 0.848 0.650
C 0.500 0.500 0.000
Cl 0.500 0.500 0.500
Ho 0.998 0.998 0.202
Ho 0.002 0.002 0.798
I 0.831 0.831 0.207
I 0.169 0.169 0.793
Nd 0.638 0.638 0.073
Nd 0.362 0.362 0.927